No. 1
The following is a SCAN calculation of LaTlCl2 at its PBEsol-relaxed geometry, from the Alexandria database.

The structure in CIF format:
```
data_LaTlCl2
_cell_length_a 3.813
_cell_length_b 4.753
_cell_length_c 6.043
_cell_angle_alpha 90.00
_cell_angle_beta 91.77
_cell_angle_gamma 90.00
_space_group_name_H-M_alt 'P 1 2/m 1'
_space_group_IT_number 10
_space_group_name_Hall '-P 2y'
loop_
_atom_site_label
_atom_site_type_symbol
_atom_site_fract_x
_atom_site_fract_y
_atom_site_fract_z
La1 La 0.000 0.000 0.000
Tl1 Tl 0.500 0.000 0.500
Cl1 Cl 0.184 0.500 0.764
```

Summary:
E_form (uncorrected) ... -1494 meV per atom
ρ ... 6.3 g cm⁻³
DOS(E_F) ... 0.44 states/eV per atom

=====

No. 2
The following is a SCAN calculation of BeCo2H at its PBEsol-relaxed geometry, from the Alexandria database.

The structure in CIF format:
```
data_BeCo2H
_cell_length_a 5.118
_cell_length_b 5.118
_cell_length_c 4.669
_cell_angle_alpha 90.00
_cell_angle_beta 90.00
_cell_angle_gamma 90.00
_space_group_name_H-M_alt 'I -4 2 d'
_space_group_IT_number 122
_space_group_name_Hall 'I -4 2bw'
loop_
_atom_site_label
_atom_site_type_symbol
_atom_site_fract_x
_atom_site_fract_y
_atom_site_fract_z
Be1 Be 0.000 0.000 0.000
Co1 Co 0.174 0.250 0.625
H1 H 0.000 0.000 0.500
```

Summary:
E ... -10.46 eV/atom
ρ ... 6.9 g cm⁻³
DOS(E_F) ... 0.37 states/eV per atom

=====

No. 3
The following is a SCAN calculation of InAg2Ir at its PBEsol-relaxed geometry, from the Alexandria database.

The structure in CIF format:
```
data_InAg2Ir
_cell_length_a 3.034
_cell_length_b 3.034
_cell_length_c 7.292
_cell_angle_alpha 90.00
_cell_angle_beta 90.00
_cell_angle_gamma 90.00
_space_group_name_H-M_alt 'P 4 m m'
_space_group_IT_number 99
_space_group_name_Hall 'P 4 -2'
loop_
_atom_site_label
_atom_site_type_symbol
_atom_site_fract_x
_atom_site_fract_y
_atom_site_fract_z
In1 In 0.000 0.000 0.000
Ag1 Ag 0.000 0.000 0.475
Ag2 Ag 0.500 0.500 0.724
Ir1 Ir 0.500 0.500 0.230
```

Summary:
ρ ... 12.9 g cm⁻³
DOS(E_F) ... 0.39 states/eV per atom
Energy of formation ... 156 meV/atom